No. 1
Material: BaPa4O12
Method: DFT, PBE
State: optimized geometry

```
BaPa4O12
1.0
-4.326 4.326 4.326
4.326 -4.326 4.326
4.326 4.326 -4.326
Ba Pa O
1 4 12
Direct
0.000 0.000 0.000
0.000 0.000 0.500
0.000 0.500 0.000
0.500 0.000 0.000
0.500 0.500 0.500
0.002 0.761 0.240
0.239 0.240 0.479
0.239 0.760 0.998
0.240 0.002 0.761
0.240 0.479 0.239
0.479 0.239 0.240
0.521 0.761 0.760
0.760 0.521 0.761
0.760 0.998 0.239
0.761 0.240 0.002
0.761 0.760 0.521
0.998 0.239 0.760
```

Spin magnetization: 0.020 μB/f.u.
Energy: -0.333 Ha/atom

***

No. 2
Material: BaPa2O8
Method: DFT, PBE
State: optimized geometry

```
BaPa2O8
1.0
5.306 0.000 0.000
0.000 5.306 0.000
0.000 0.000 6.676
Ba Pa O
1 2 8
Direct
0.000 0.000 0.000
0.000 0.500 0.500
0.500 0.000 0.500
0.249 0.249 0.307
0.249 0.249 0.693
0.249 0.751 0.307
0.249 0.751 0.693
0.751 0.249 0.307
0.751 0.249 0.693
0.751 0.751 0.307
0.751 0.751 0.693
```

Spin magnetization: 3.886 μB/f.u.
Energy: -0.292 Ha/atom

***

No. 3
Material: BaPaO3
Method: DFT, PBE
State: optimized geometry

```
BaPaO3
1.0
3.199 -5.530 0.000
3.199 5.530 0.000
-0.630 0.000 15.559
Ba Pa O
6 6 18
Direct
0.009 0.991 0.750
0.331 0.661 0.384
0.339 0.669 0.116
0.661 0.331 0.884
0.669 0.339 0.616
0.991 0.009 0.250
0.000 0.000 0.000
0.000 0.000 0.500
0.312 0.646 0.852
0.354 0.688 0.648
0.646 0.312 0.352
0.688 0.354 0.148
0.034 0.518 0.734
0.070 0.270 0.897
0.072 0.780 0.903
0.212 0.399 0.543
0.220 0.928 0.597
0.270 0.070 0.397
0.399 0.212 0.043
0.482 0.966 0.766
0.489 0.511 0.750
0.511 0.489 0.250
0.518 0.034 0.234
0.601 0.788 0.957
0.730 0.930 0.603
0.780 0.072 0.403
0.788 0.601 0.457
0.928 0.220 0.097
0.930 0.730 0.103
0.966 0.482 0.266
```

Spin magnetization: 1.006 μB/f.u.
Energy: -0.308 Ha/atom